Below is a relaxed structure of Cr2CuBr, with properties calculated at the GGA-PBE level.

Output
Energy above the most stable polymorph in this dataset (meV per atom): 135
Uncorrected energy (eV per atom): -5.7684

Cell: 3.1897 3.3012 7.1071 Å, 89.94 90.00 90.00°
Element x y z (fractional)
Br 0.5000 0.7500 0.7500
Cr 0.0000 0.7506 0.0523
Cr 0.0000 0.7494 0.4477
Cu 0.5000 0.2500 0.2500

=====

Below is a relaxed structure of NbReO2F, with properties calculated at the GGA-PBE level.

Output
Uncorrected energy (eV per atom): -7.3430

Cell: 3.7230 3.7230 5.7934 Å, 90.00 90.00 90.00°
Element x y z (fractional)
Re 0.0000 0.0000 0.0000
Nb 0.5000 0.5000 0.5000
O 0.0000 0.5000 0.0000
O 0.5000 0.0000 0.0000
F 0.0000 0.0000 0.5000

=====

Below is a relaxed structure of BaAc6, with properties calculated at the GGA-PBE level.

Output
Formation energy from the elements (meV per atom): 1148
Uncorrected energy (eV per atom): -2.6480

Cell: 8.2801 8.2801 8.2801 Å, 109.47 109.47 109.47°
Element x y z (fractional)
Ba 0.0000 0.0000 0.0000
Ac 0.2500 0.7500 0.5000
Ac 0.5000 0.7500 0.2500
Ac 0.2500 0.5000 0.7500
Ac 0.7500 0.2500 0.5000
Ac 0.5000 0.2500 0.7500
Ac 0.7500 0.5000 0.2500